PBE CuRu2W, optimized geometry; space group = No. 6; theoretical density = 13.3 Mg/m³; total magnetic moment = 0.00 μB per formula unit; energy above the lowest structure with this stoichiometry = 92 meV per atom; DFT formation energy = 0.17 eV per atom
1.0
3.8979 0.0000 0.0000
0.0000 2.7241 0.0177
0.0000 2.6798 5.3211
Ru W Cu
2 1 1
direct
0.0000 0.0094 0.9875
0.5000 0.2486 0.2501
0.0000 0.4989 0.5056
0.5000 0.7431 0.7568